Entry 1:
# NpAlB PBE-GGA relaxed
# Volume, Å³/cell: 50.70
# Distance to the lowest polymorph of the same formula, eV/atom: 0.0000
# ρ, Mg/m³: 9.000
data_NpAlB
_cell_length_a 4.154
_cell_length_b 4.154
_cell_length_c 4.154
_cell_angle_alpha 60.00
_cell_angle_beta 60.00
_cell_angle_gamma 60.00
_symmetry_space_group_name_H-M 'P 1'
_symmetry_Int_Tables_number 1
loop_
_symmetry_equiv_pos_as_xyz
'x,y,z'
loop_
_atom_site_label
_atom_site_fract_x
_atom_site_fract_y
_atom_site_fract_z
_atom_site_occupancy
Al1 0.250 0.250 0.250 1
B1 0.000 0.000 0.000 1
Np1 0.750 0.750 0.750 1

=====

Entry 2:
# ThScIr PBE-GGA relaxed
# Volume, Å³/cell: 77.56
# Distance to the lowest polymorph of the same formula, eV/atom: 0.0000
# ρ, Mg/m³: 10.045
# Energy of formation, eV/atom: -0.60
data_ThScIr
_cell_length_a 4.787
_cell_length_b 4.787
_cell_length_c 4.787
_cell_angle_alpha 60.00
_cell_angle_beta 60.00
_cell_angle_gamma 60.00
_symmetry_space_group_name_H-M 'P 1'
_symmetry_Int_Tables_number 1
loop_
_symmetry_equiv_pos_as_xyz
'x,y,z'
loop_
_atom_site_label
_atom_site_fract_x
_atom_site_fract_y
_atom_site_fract_z
_atom_site_occupancy
Ir1 0.000 0.000 0.000 1
Sc1 0.750 0.750 0.750 1
Th1 0.250 0.250 0.250 1

=====

Entry 3:
# ErNi3 PBE-GGA relaxed
# Volume, Å³/cell: 56.63
# ρ, Mg/m³: 10.067
# Energy of formation, eV/atom: -0.22
data_ErNi3
_cell_length_a 4.655
_cell_length_b 4.655
_cell_length_c 4.655
_cell_angle_alpha 130.74
_cell_angle_beta 130.74
_cell_angle_gamma 72.23
_symmetry_space_group_name_H-M 'P 1'
_symmetry_Int_Tables_number 1
loop_
_symmetry_equiv_pos_as_xyz
'x,y,z'
loop_
_atom_site_label
_atom_site_fract_x
_atom_site_fract_y
_atom_site_fract_z
_atom_site_occupancy
Er1 0.000 0.000 0.000 1
Ni1 0.500 0.500 0.000 1
Ni2 0.750 0.250 0.500 1
Ni3 0.250 0.750 0.500 1

=====

Entry 4:
# TbDy3Pb2C2 PBE-GGA relaxed
# Volume, Å³/cell: 185.71
# ρ, Mg/m³: 9.700
# Energy, eV per atom: -6.023
data_TbDy3Pb2C2
_cell_length_a 3.642
_cell_length_b 3.642
_cell_length_c 16.171
_cell_angle_alpha 90.00
_cell_angle_beta 90.00
_cell_angle_gamma 120.00
_symmetry_space_group_name_H-M 'P 1'
_symmetry_Int_Tables_number 1
loop_
_symmetry_equiv_pos_as_xyz
'x,y,z'
loop_
_atom_site_label
_atom_site_fract_x
_atom_site_fract_y
_atom_site_fract_z
_atom_site_occupancy
C1 0.000 0.000 0.500 1
C2 0.000 0.000 0.000 1
Dy1 0.333 0.667 0.417 1
Dy2 0.667 0.333 0.583 1
Dy3 0.667 0.333 0.917 1
Pb1 0.667 0.333 0.250 1
Pb2 0.333 0.667 0.750 1
Tb1 0.333 0.667 0.083 1

=====

Entry 5:
# YTmCo2Pb PBE-GGA relaxed
# Volume, Å³/cell: 102.80
# ρ, Mg/m³: 9.416
# Energy, eV per atom: -6.116
data_YTmCo2Pb
_cell_length_a 3.825
_cell_length_b 7.272
_cell_length_c 7.272
_cell_angle_alpha 30.54
_cell_angle_beta 90.00
_cell_angle_gamma 90.00
_symmetry_space_group_name_H-M 'P 1'
_symmetry_Int_Tables_number 1
loop_
_symmetry_equiv_pos_as_xyz
'x,y,z'
loop_
_atom_site_label
_atom_site_fract_x
_atom_site_fract_y
_atom_site_fract_z
_atom_site_occupancy
Co1 0.000 0.205 0.205 1
Co2 0.000 0.792 0.792 1
Pb1 0.000 0.001 0.001 1
Tm1 0.500 0.642 0.642 1
Y1 0.500 0.361 0.361 1

=====

Entry 6:
# ScGe2Au4 PBE-GGA relaxed
# Volume, Å³/cell: 140.29
# ρ, Mg/m³: 11.577
# Energy, eV per atom: -4.291
data_ScGe2Au4
_cell_length_a 6.214
_cell_length_b 6.214
_cell_length_c 3.819
_cell_angle_alpha 90.00
_cell_angle_beta 90.00
_cell_angle_gamma 107.94
_symmetry_space_group_name_H-M 'P 1'
_symmetry_Int_Tables_number 1
loop_
_symmetry_equiv_pos_as_xyz
'x,y,z'
loop_
_atom_site_label
_atom_site_fract_x
_atom_site_fract_y
_atom_site_fract_z
_atom_site_occupancy
Au1 0.799 0.201 0.000 1
Au2 0.201 0.799 0.000 1
Au3 0.209 0.209 0.500 1
Au4 0.791 0.791 0.500 1
Ge1 0.500 0.000 0.500 1
Ge2 0.000 0.500 0.500 1
Sc1 0.500 0.500 0.000 1

=====

Entry 7:
# HfPaCo PBE-GGA relaxed
# Volume, Å³/cell: 63.32
# Distance to the lowest polymorph of the same formula, eV/atom: 0.0000
# ρ, Mg/m³: 12.285
# Energy of formation, eV/atom: 0.13
data_HfPaCo
_cell_length_a 4.474
_cell_length_b 4.474
_cell_length_c 4.474
_cell_angle_alpha 60.00
_cell_angle_beta 60.00
_cell_angle_gamma 60.00
_symmetry_space_group_name_H-M 'P 1'
_symmetry_Int_Tables_number 1
loop_
_symmetry_equiv_pos_as_xyz
'x,y,z'
loop_
_atom_site_label
_atom_site_fract_x
_atom_site_fract_y
_atom_site_fract_z
_atom_site_occupancy
Co1 0.000 0.000 0.000 1
Hf1 0.250 0.250 0.250 1
Pa1 0.750 0.750 0.750 1

=====

Entry 8:
# NaTbAgS3 PBE-GGA relaxed
# Volume, Å³/cell: 275.40
# ρ, Mg/m³: 4.655
# Energy, eV per atom: -4.585
data_NaTbAgS3
_cell_length_a 6.868
_cell_length_b 6.868
_cell_length_c 10.537
_cell_angle_alpha 90.00
_cell_angle_beta 90.00
_cell_angle_gamma 146.35
_symmetry_space_group_name_H-M 'P 1'
_symmetry_Int_Tables_number 1
loop_
_symmetry_equiv_pos_as_xyz
'x,y,z'
loop_
_atom_site_label
_atom_site_fract_x
_atom_site_fract_y
_atom_site_fract_z
_atom_site_occupancy
Ag1 0.033 0.967 0.250 1
Ag2 0.967 0.033 0.750 1
Na1 0.749 0.251 0.250 1
Na2 0.251 0.749 0.750 1
S1 0.138 0.862 0.057 1
S2 0.415 0.585 0.250 1
S3 0.138 0.862 0.443 1
S4 0.862 0.138 0.557 1
S5 0.585 0.415 0.750 1
S6 0.862 0.138 0.943 1
Tb1 0.500 0.500 0.000 1
Tb2 0.500 0.500 0.500 1

=====

Entry 9:
# Sm2Tm2Ni PBE-GGA relaxed
# Volume, Å³/cell: 258.49
# ρ, Mg/m³: 8.959
# Energy of formation, eV/atom: 0.03
data_Sm2Tm2Ni
_cell_length_a 5.254
_cell_length_b 5.254
_cell_length_c 10.811
_cell_angle_alpha 90.00
_cell_angle_beta 90.00
_cell_angle_gamma 120.00
_symmetry_space_group_name_H-M 'P 1'
_symmetry_Int_Tables_number 1
loop_
_symmetry_equiv_pos_as_xyz
'x,y,z'
loop_
_atom_site_label
_atom_site_fract_x
_atom_site_fract_y
_atom_site_fract_z
_atom_site_occupancy
Ni1 0.000 0.000 0.250 1
Ni2 0.000 0.000 0.750 1
Sm1 0.333 0.667 0.097 1
Sm2 0.333 0.667 0.403 1
Sm3 0.667 0.333 0.597 1
Sm4 0.667 0.333 0.903 1
Tm1 0.000 0.000 0.000 1
Tm2 0.667 0.333 0.250 1
Tm3 0.000 0.000 0.500 1
Tm4 0.333 0.667 0.750 1

=====

Entry 10:
# ZnGaSb PBE-GGA relaxed
# Volume, Å³/cell: 71.45
# ρ, Mg/m³: 5.970
# Energy, eV per atom: -2.665
data_ZnGaSb
_cell_length_a 4.658
_cell_length_b 4.658
_cell_length_c 4.658
_cell_angle_alpha 60.00
_cell_angle_beta 60.00
_cell_angle_gamma 60.00
_symmetry_space_group_name_H-M 'P 1'
_symmetry_Int_Tables_number 1
loop_
_symmetry_equiv_pos_as_xyz
'x,y,z'
loop_
_atom_site_label
_atom_site_fract_x
_atom_site_fract_y
_atom_site_fract_z
_atom_site_occupancy
Ga1 0.000 0.000 0.000 1
Sb1 0.250 0.250 0.250 1
Zn1 0.750 0.750 0.750 1

=====

Entry 11:
# CoCuOsPb PBE-GGA relaxed
# Volume, Å³/cell: 60.74
# Distance to the lowest polymorph of the same formula, eV/atom: 0.0000
# ρ, Mg/m³: 14.214
data_CoCuOsPb
_cell_length_a 4.412
_cell_length_b 4.412
_cell_length_c 4.412
_cell_angle_alpha 60.00
_cell_angle_beta 60.00
_cell_angle_gamma 60.00
_symmetry_space_group_name_H-M 'P 1'
_symmetry_Int_Tables_number 1
loop_
_symmetry_equiv_pos_as_xyz
'x,y,z'
loop_
_atom_site_label
_atom_site_fract_x
_atom_site_fract_y
_atom_site_fract_z
_atom_site_occupancy
Co1 0.750 0.750 0.750 1
Cu1 0.500 0.500 0.500 1
Os1 0.250 0.250 0.250 1
Pb1 0.000 0.000 0.000 1

=====

Entry 12:
# YErGa5 PBE-GGA relaxed
# Volume, Å³/cell: 147.90
# ρ, Mg/m³: 6.790
# Energy, eV per atom: -4.166
data_YErGa5
_cell_length_a 4.212
_cell_length_b 4.212
_cell_length_c 8.336
_cell_angle_alpha 90.00
_cell_angle_beta 90.00
_cell_angle_gamma 90.00
_symmetry_space_group_name_H-M 'P 1'
_symmetry_Int_Tables_number 1
loop_
_symmetry_equiv_pos_as_xyz
'x,y,z'
loop_
_atom_site_label
_atom_site_fract_x
_atom_site_fract_y
_atom_site_fract_z
_atom_site_occupancy
Er1 0.000 0.000 0.500 1
Ga1 0.500 0.500 0.000 1
Ga2 0.500 0.000 0.257 1
Ga3 0.000 0.500 0.257 1
Ga4 0.500 0.000 0.743 1
Ga5 0.000 0.500 0.743 1
Y1 0.000 0.000 0.000 1